(1)
GGA-PBE AlZnIO2, relaxed; total magnetic moment = 0.00 μB/cell; ΔE_f (raw) = -0.960 eV/atom; space group = P4/mmm, No. 123
1.0
3.7297 0.0000 0.0000
0.0000 3.7297 0.0000
0.0000 0.0000 6.1662
Al Zn I O
1 1 1 2
Direct
0.0000 0.0000 0.0000 Al
0.5000 0.5000 0.5000 Zn
0.0000 0.0000 0.5000 I
0.0000 0.5000 0.0000 O
0.5000 0.0000 0.0000 O


(2)
GGA-PBE AlZnIO2, relaxed; total magnetic moment = 0.00 μB/cell; ΔE_f (raw) = 0.026 eV/atom; space group = P4/mmm, No. 123
1.0
3.9688 0.0000 0.0000
0.0000 3.9688 0.0000
0.0000 0.0000 5.7199
Al Zn I O
1 1 1 2
Direct
0.0000 0.0000 0.0000 Al
0.5000 0.5000 0.5000 Zn
0.5000 0.5000 0.0000 I
0.0000 0.5000 0.5000 O
0.5000 0.0000 0.5000 O


(3)
GGA-PBE AlZnI2O, relaxed; total magnetic moment = 0.43 μB/cell; ΔE_f (raw) = -0.144 eV/atom; space group = P4/mmm, No. 123
1.0
6.1984 0.0000 0.0000
0.0000 6.1984 0.0000
0.0000 0.0000 3.5771
Al Zn I O
1 1 2 1
Direct
0.0000 0.0000 0.0000 Al
0.5000 0.5000 0.5000 Zn
0.0000 0.5000 0.5000 I
0.5000 0.0000 0.5000 I
0.5000 0.5000 0.0000 O


(4)
GGA-PBE AlZnI2O, relaxed; total magnetic moment = 0.00 μB/cell; ΔE_f (raw) = -0.708 eV/atom; space group = P4/mmm, No. 123
1.0
5.7962 0.0000 0.0000
0.0000 5.7962 0.0000
0.0000 0.0000 3.5001
Al Zn I O
1 1 2 1
Direct
0.0000 0.0000 0.0000 Al
0.5000 0.5000 0.5000 Zn
0.0000 0.5000 0.0000 I
0.5000 0.0000 0.0000 I
0.0000 0.0000 0.5000 O


(5)
GGA-PBE ZrAlI2O, relaxed; total magnetic moment = 0.00 μB/cell; ΔE_f (raw) = -0.907 eV/atom; space group = P4/mmm, No. 123
1.0
5.9504 0.0000 0.0000
0.0000 5.9504 0.0000
0.0000 0.0000 4.0332
Zr Al I O
1 1 2 1
Direct
0.0000 0.0000 0.0000 Zr
0.5000 0.5000 0.5000 Al
0.0000 0.5000 0.0000 I
0.5000 0.0000 0.0000 I
0.0000 0.0000 0.5000 O


(6)
GGA-PBE ZrAlI2O, relaxed; total magnetic moment = 1.97 μB/cell; ΔE_f (raw) = -0.609 eV/atom; space group = P4/mmm, No. 123
1.0
5.7563 0.0000 0.0000
0.0000 5.7563 0.0000
0.0000 0.0000 3.4843
Zr Al I O
1 1 2 1
Direct
0.0000 0.0000 0.0000 Zr
0.5000 0.5000 0.5000 Al
0.0000 0.5000 0.5000 I
0.5000 0.0000 0.5000 I
0.5000 0.5000 0.0000 O